# 1
Below is RbNaV2Pd after structural relaxation, with properties calculated at the PBE level.

## Properties
- formation energy (eV per atom) = 2.365
- density of states at the Fermi level (states/eV per cell) = 9.1

Unit cell a=4.6537 b=4.6537 c=5.3058 alpha=90.00 beta=90.00 gamma=90.00
Space group P4/mmm (No. 123)
Inequivalent atoms, fractional coordinates:
Rb1 0.0000 0.0000 0.0000 x1
Na1 0.5000 0.5000 0.5000 x1
V1 0.0000 0.5000 0.0000 x2
Pd1 0.0000 0.0000 0.5000 x1

# 2
Below is HoTlHg3 after structural relaxation, with properties calculated at the PBE level.

## Properties
- formation energy (eV per atom) = -0.185
- density of states at the Fermi level (states/eV per cell) = 7.4
- polymorph energy (0 for the lowest one) (kJ/mol of formula units) = 0

Unit cell a=16.8083 b=5.0644 c=6.5103 alpha=90.00 beta=112.18 gamma=90.00
Space group C2/m (No. 12)
Inequivalent atoms, fractional coordinates:
Ho1 0.1095 0.0000 0.4684 x4
Tl1 0.2139 0.5000 0.8134 x4
Hg1 0.0012 0.5000 0.7310 x4
Hg2 0.0834 0.0000 0.9437 x4
Hg3 0.1848 0.5000 0.2848 x4

# 3
Below is Ag2WCl after structural relaxation, with properties calculated at the PBE level.

## Properties
- energy relative to the elements, uncorrected (meV per atom) = 486
- density of states at the Fermi level (states/eV per cell) = 4.3
- polymorph energy (0 for the lowest one) (kJ/mol of formula units) = 46

Unit cell a=2.8592 b=4.5717 c=13.5350 alpha=90.00 beta=90.00 gamma=90.00
Space group Imm2 (No. 44)
Inequivalent atoms, fractional coordinates:
Ag1 0.0000 0.0000 0.0000 x2
Ag2 0.0000 0.5000 0.1251 x2
W1 0.0000 0.0000 0.4404 x2
Cl1 0.0000 0.5000 0.7961 x2

# 4
Below is PrYPt after structural relaxation, with properties calculated at the PBE level.

## Properties
- formation energy (eV per atom) = -0.752
- density of states at the Fermi level (states/eV per cell) = 10.5
- polymorph energy (0 for the lowest one) (kJ/mol of formula units) = 31

Unit cell a=7.0400 b=7.0400 c=7.0400 alpha=90.00 beta=90.00 gamma=90.00
Space group F-43m (No. 216)
Inequivalent atoms, fractional coordinates:
Pr1 0.0000 0.0000 0.0000 x4
Y1 0.0000 0.0000 0.5000 x4
Pt1 0.2500 0.2500 0.2500 x4